1.
Compound: BaNiHgPb2
Source: Alexandria
Functional: GGA-PBE
Structure: relaxed

The formation energy is -128 meV per atom. The energy above the most stable polymorph in this dataset comes out at 0.046 eV/atom.

It has space group P4/mmm (No. 123), with a = 5.1426 Å, b = 5.1426 Å, c = 5.9735 Å, α = 90.00°, β = 90.00° and γ = 90.00°. Symmetry generates all atoms from Ba at (0.0000, 0.0000, 0.0000), Ni at (0.0000, 0.0000, 0.5000), Hg at (0.5000, 0.5000, 0.0000) and Pb at (0.0000, 0.5000, 0.5000).

---

2.
Compound: Ca3Ga9Co2
Source: Alexandria
Functional: GGA-PBE
Structure: relaxed

The formation energy is -376 meV per atom.

It has space group Immm (No. 71), with a = 4.1996 Å, b = 9.7836 Å, c = 12.4201 Å, α = 90.00°, β = 90.00° and γ = 90.00°. Symmetry generates all atoms from Ca at (0.0000, 0.0000, 0.0000), Ca at (0.0000, 0.0000, 0.3108), Ga at (0.0000, 0.2840, 0.1214), Ga at (0.0000, 0.3589, 0.3382), Ga at (0.0000, 0.5000, 0.0000) and Co at (0.0000, 0.2100, 0.5000).

---

3.
Compound: ZnIr2Os
Source: Alexandria
Functional: GGA-PBE
Structure: relaxed

The formation energy is 5 meV per atom.

It has space group R-3m (No. 166, hexagonal axes), with a = 2.7652 Å, b = 2.7652 Å, c = 26.1644 Å, α = 90.00°, β = 90.00° and γ = 120.00°. Symmetry generates all atoms from Zn at (0.0000, 0.0000, 0.0000), Ir at (0.0000, 0.0000, 0.2495) and Os at (0.0000, 0.0000, 0.5000).

---

4.
Compound: AcLaPuAl
Source: Alexandria
Functional: GGA-PBE
Structure: relaxed

The formation energy is 175 meV per atom.

It has space group F-43m (No. 216), with a = 7.8864 Å, b = 7.8864 Å, c = 7.8864 Å, α = 90.00°, β = 90.00° and γ = 90.00°. Symmetry generates all atoms from Ac at (0.0000, 0.0000, 0.0000), La at (0.2500, 0.2500, 0.7500), Pu at (0.2500, 0.2500, 0.2500) and Al at (0.0000, 0.0000, 0.5000).

---

5.
Compound: DyLuMo4
Source: Alexandria
Functional: GGA-PBE
Structure: relaxed

The formation energy is 57 meV per atom.

It has space group F-43m (No. 216), with a = 7.7715 Å, b = 7.7715 Å, c = 7.7715 Å, α = 90.00°, β = 90.00° and γ = 90.00°. Symmetry generates all atoms from Dy at (0.0000, 0.0000, 0.0000), Lu at (0.2500, 0.2500, 0.7500) and Mo at (0.1250, 0.1250, 0.3750).

---

6.
Compound: AcTbPm2Se4
Source: Alexandria
Functional: GGA-PBE
Structure: relaxed

The formation energy without anion corrections is -1.8016 eV/atom.

It has space group P2/m (No. 10), with a = 7.2920 Å, b = 4.1812 Å, c = 7.4934 Å, α = 90.00°, β = 108.72° and γ = 90.00°. Symmetry generates all atoms from Ac at (0.0000, 0.0000, 0.0000), Tb at (0.0000, 0.5000, 0.5000), Pm at (0.5000, 0.0000, 0.5000), Pm at (0.5000, 0.5000, 0.0000), Se at (0.2483, 0.0000, 0.7371) and Se at (0.2581, 0.5000, 0.2658).

---

7.
Compound: RbVPb3
Source: Alexandria
Functional: GGA-PBE
Structure: relaxed

The formation energy is 1667 meV per atom. The energy above the most stable polymorph in this dataset comes out at 1.548 eV/atom.

It has space group Pm-3m (No. 221), with a = 6.0335 Å, b = 6.0335 Å, c = 6.0335 Å, α = 90.00°, β = 90.00° and γ = 90.00°. Symmetry generates all atoms from Rb at (0.0000, 0.0000, 0.0000), V at (0.5000, 0.5000, 0.5000) and Pb at (0.0000, 0.0000, 0.5000).

---

8.
Compound: Al2V4Cr3
Source: Alexandria
Functional: GGA-PBE
Structure: relaxed

The formation energy is 73 meV per atom.

It has space group P2_1/c (No. 14), with a = 6.5994 Å, b = 7.3234 Å, c = 5.0762 Å, α = 90.00°, β = 101.08° and γ = 90.00°. Symmetry generates all atoms from Al at (0.1406, 0.2319, 0.0620), V at (0.1679, 0.5708, 0.2344), V at (0.4989, 0.6663, 0.0254), Cr at (0.1796, 0.5926, 0.7580) and Cr at (0.5000, 0.0000, 0.0000).

---

9.
Compound: Rb3Au3I8
Source: Alexandria
Functional: GGA-PBE
Structure: relaxed

The formation energy without anion corrections is -0.7031 eV/atom.

It has space group C2/c (No. 15), with a = 13.6762 Å, b = 8.5640 Å, c = 21.0659 Å, α = 90.00°, β = 94.72° and γ = 90.00°. Symmetry generates all atoms from Rb at (0.0000, 0.0036, 0.2500), Rb at (0.1882, 0.4744, 0.5930), Au at (0.0000, 0.0000, 0.0000), Au at (0.1344, 0.4714, 0.8222), I at (0.0448, 0.3051, 0.3786), I at (0.0655, 0.2134, 0.9173), I at (0.1802, 0.0161, 0.5612) and I at (0.2208, 0.2633, 0.7552).

---

10.
Compound: Dy2AuCl
Source: Alexandria
Functional: GGA-PBE
Structure: relaxed

The energy above the most stable polymorph in this dataset comes out at 0.000 eV/atom. The formation energy without anion corrections is -1.0183 eV/atom.

It has space group R-3m (No. 166, hexagonal axes), with a = 4.4182 Å, b = 4.4182 Å, c = 24.1343 Å, α = 90.00°, β = 90.00° and γ = 120.00°. Symmetry generates all atoms from Dy at (0.0000, 0.0000, 0.1102), Au at (0.0000, 0.0000, 0.5000) and Cl at (0.0000, 0.0000, 0.0000).

---

11.
Compound: CeTeCl
Source: Alexandria
Functional: GGA-PBE
Structure: relaxed

The energy above the most stable polymorph in this dataset comes out at 0.004 eV/atom. The formation energy without anion corrections is -1.7405 eV/atom.

It has space group P4/nmm (No. 129, origin choice 2), with a = 4.4915 Å, b = 4.4915 Å, c = 8.2711 Å, α = 90.00°, β = 90.00° and γ = 90.00°. Symmetry generates all atoms from Ce at (0.2500, 0.2500, 0.2407), Te at (0.2500, 0.2500, 0.6364) and Cl at (0.2500, 0.7500, 0.0000).

---

12.
Compound: Ti4ReGe
Source: Alexandria
Functional: GGA-PBE
Structure: relaxed

The formation energy is -70 meV per atom.

It has space group R-3m (No. 166, hexagonal axes), with a = 4.2892 Å, b = 4.2892 Å, c = 21.0741 Å, α = 90.00°, β = 90.00° and γ = 120.00°. Symmetry generates all atoms from Ti at (0.0000, 0.0000, 0.1209), Ti at (0.0000, 0.0000, 0.3720), Re at (0.0000, 0.0000, 0.0000) and Ge at (0.0000, 0.0000, 0.5000).

---

Number 1: total energy -3.21 eV/atom. Number 2: total energy -3.77 eV/atom. Number 3: total energy -7.55 eV/atom. Number 4: total energy -6.60 eV/atom. Number 5: total energy -8.68 eV/atom. Number 6: total energy -5.82 eV/atom. Number 7: total energy -2.57 eV/atom. Number 8: total energy -8.02 eV/atom. Number 9: total energy -2.50 eV/atom. Number 10: total energy -4.60 eV/atom. Number 11: total energy -5.38 eV/atom. Number 12: total energy -8.18 eV/atom.